<P>
Here is LaVPO2 after structural relaxation from Alexandria via LeMat-Bulk. Energies are from GGA+U.

Properties
**Calculated volume**: 15.52 A^3/atom

Unit cell a=4.013 b=4.013 c=4.820 alpha=90.00 beta=90.00 gamma=90.00
Positions (direct):
La (0.000, 0.000, 0.000)
V (0.500, 0.500, 0.500)
P (0.500, 0.500, 0.000)
O (0.000, 0.500, 0.500)
O (0.500, 0.000, 0.500)


<Q>
Here is LaVPO2 after structural relaxation from Alexandria via LeMat-Bulk. Energies are from GGA+U.

Properties
**Calculated volume**: 23.01 A^3/atom

Unit cell a=4.177 b=4.177 c=6.594 alpha=90.00 beta=90.00 gamma=90.00
Positions (direct):
La (0.000, 0.000, 0.000)
V (0.500, 0.500, 0.500)
P (0.000, 0.000, 0.500)
O (0.000, 0.500, 0.000)
O (0.500, 0.000, 0.000)


Quick one: most stable of them? <P>


<P>
Here is LaPWO2 after structural relaxation from Alexandria via LeMat-Bulk. Energies are from GGA+U.

Properties
**Calculated volume**: 17.34 A^3/atom

Unit cell a=4.129 b=4.129 c=5.087 alpha=90.00 beta=90.00 gamma=90.00
Positions (direct):
La (0.000, 0.000, 0.000)
P (0.500, 0.500, 0.000)
W (0.500, 0.500, 0.500)
O (0.000, 0.500, 0.500)
O (0.500, 0.000, 0.500)


<Q>
Here is LaPWO2 after structural relaxation from Alexandria via LeMat-Bulk. Energies are from GGA+U.

Properties
**Calculated volume**: 22.75 A^3/atom

Unit cell a=4.170 b=4.170 c=6.541 alpha=90.00 beta=90.00 gamma=90.00
Positions (direct):
La (0.000, 0.000, 0.000)
P (0.000, 0.000, 0.500)
W (0.500, 0.500, 0.500)
O (0.000, 0.500, 0.000)
O (0.500, 0.000, 0.000)


Quick one: most stable of them? <P>